(1)
## PrCd4Pd (GGA-PBE)

Data for a relaxed structure of PrCd4Pd. Values from VASP.

```
&SYSTEM
  ibrav = 0, nat = 6, ntyp = 3
/
ATOMIC_SPECIES
Cd 112.41 Cd.upf
Pd 106.42 Pd.upf
Pr 140.91 Pr.upf
CELL_PARAMETERS angstrom
-5.443 1.361 -1.370
-3.444 -3.954 -2.420
-4.384 -2.245 3.016
ATOMIC_POSITIONS crystal
Cd 0.626 0.626 0.626
Cd 0.123 0.626 0.626
Cd 0.626 0.626 0.123
Cd 0.626 0.123 0.626
Pd 0.000 0.000 0.000
Pr 0.250 0.250 0.250
```

**Calculated volume**: 22.70 Å³ per atom
**Offset from the most stable computed form**: 169 meV per atom

***

(2)
## Ni6Pd12Pt (GGA-PBE)

Data for a relaxed structure of Ni6Pd12Pt. Values from VASP.

```
&SYSTEM
  ibrav = 0, nat = 19, ntyp = 3
/
ATOMIC_SPECIES
Ni 58.69 Ni.upf
Pd 106.42 Pd.upf
Pt 195.08 Pt.upf
CELL_PARAMETERS angstrom
7.156 0.000 0.000
-2.385 6.746 0.000
-2.385 -3.373 5.843
ATOMIC_POSITIONS crystal
Ni 0.364 0.500 0.864
Ni 0.864 0.364 0.500
Ni 0.500 0.136 0.636
Ni 0.500 0.864 0.364
Ni 0.136 0.636 0.500
Ni 0.636 0.500 0.136
Pd 0.910 0.184 0.726
Pd 0.184 0.274 0.458
Pd 0.458 0.184 0.274
Pd 0.184 0.726 0.910
Pd 0.816 0.726 0.542
Pd 0.816 0.274 0.090
Pd 0.274 0.458 0.184
Pd 0.274 0.090 0.816
Pd 0.090 0.816 0.274
Pd 0.726 0.910 0.184
Pd 0.726 0.542 0.816
Pd 0.542 0.816 0.726
Pt 0.000 0.000 0.000
```

**Calculated volume**: 14.84 Å³ per atom

***

Number 1: total DFT energy (no corrections) -2.466 eV/atom. Number 2: total DFT energy (no corrections) -5.259 eV/atom.